1.
A geometry-optimized FePIr structure, computed with PBE-GGA.

Cell and atoms, written as POSCAR:
```
FePIr
1.0
0.000 2.837 2.837
2.837 0.000 2.837
2.837 2.837 0.000
Fe P Ir
1 1 1
Direct
0.000 0.000 0.000 Fe
0.500 0.500 0.500 P
0.250 0.250 0.250 Ir
```

Results
SG: F-43m (216)
Spin magnetization (μB/f.u.): 3.049
Total energy (eV/atom): -7.675

---

2.
A geometry-optimized FePIr structure, computed with PBE-GGA.

Cell and atoms, written as POSCAR:
```
FePIr
1.0
0.000 2.713 2.713
2.713 0.000 2.713
2.713 2.713 0.000
Fe P Ir
1 1 1
Direct
0.000 0.000 0.000 Fe
0.250 0.250 0.250 P
0.500 0.500 0.500 Ir
```

Results
SG: F-43m (216)
Spin magnetization (μB/f.u.): 1.113
Total energy (eV/atom): -7.937

---

For the records above, the corresponding V values read 45.66; 39.92 Å³ per cell.
For the records above, the corresponding D(E_F) values read 2.98; 2.30 states/eV per cell.